one:
Material: Li2DyTl2
Method: DFT, PBE
State: optimized geometry

Computed properties:
**SG**: P4/mbm, No. 127
**Total magnetization**: 0.0 μB/cell

CIF file:
```
data_Li2DyTl2
_chemical_formula_sum 'Li4 Dy2 Tl4'
_cell_length_a 8.2149
_cell_length_b 8.2149
_cell_length_c 3.2754
_cell_angle_alpha 90.00
_cell_angle_beta 90.00
_cell_angle_gamma 90.00
_space_group_name_H-M_alt 'P 1'
_space_group_IT_number 1
loop_
_space_group_symop_operation_xyz
'x,y,z'
loop_
_atom_site_label
_atom_site_fract_x
_atom_site_fract_y
_atom_site_fract_z
Li1 0.1159 0.3841 0.0000
Li2 0.3841 0.8841 0.0000
Li3 0.6159 0.1159 0.0000
Li4 0.8841 0.6159 0.0000
Dy1 0.0000 0.0000 0.0000
Dy2 0.5000 0.5000 0.0000
Tl1 0.1825 0.6825 0.5000
Tl2 0.3175 0.1825 0.5000
Tl3 0.6825 0.8175 0.5000
Tl4 0.8175 0.3175 0.5000
```

two:
Material: Li2DyTl2
Method: DFT, PBE
State: optimized geometry

Computed properties:
**SG**: C2/m, No. 12
**Total magnetization**: 0.0 μB/cell

CIF file:
```
data_Li2DyTl2
_chemical_formula_sum 'Li4 Dy2 Tl4'
_cell_length_a 9.1546
_cell_length_b 5.0329
_cell_length_c 5.2307
_cell_angle_alpha 90.00
_cell_angle_beta 112.37
_cell_angle_gamma 90.00
_space_group_name_H-M_alt 'P 1'
_space_group_IT_number 1
loop_
_space_group_symop_operation_xyz
'x,y,z'
loop_
_atom_site_label
_atom_site_fract_x
_atom_site_fract_y
_atom_site_fract_z
Li1 0.1124 0.0000 0.2371
Li2 0.3876 0.5000 0.7629
Li3 0.6124 0.5000 0.2371
Li4 0.8876 0.0000 0.7629
Dy1 0.0000 0.5000 0.5000
Dy2 0.5000 0.0000 0.5000
Tl1 0.2449 0.0000 0.8093
Tl2 0.2551 0.5000 0.1907
Tl3 0.7449 0.5000 0.8093
Tl4 0.7551 0.0000 0.1907
```

Ranked by calculated energy, most stable first: one, two.